A geometry-optimized Dy2PuAg3Se6 structure. Source: Alexandria via LeMat-Bulk, functional PBE.

Results
SG: No. 12
Formation energy from raw total energies in meV per atom: -1072

Unit cell a=4.2056 b=7.9981 c=9.0826 alpha=98.94 beta=103.39 gamma=90.00
With the nearest neighbours (Å) after each atom.
Atoms (fractional coordinates):
Dy 0.8330 0.6574 0.6660  6 Se 2.87-2.89
Dy 0.1670 0.3426 0.3340  6 Se 2.87-2.89
Pu 0.5000 0.0000 0.0000  6 Se 2.91-2.95
Ag 0.5000 0.5000 0.0000  6 Se 2.89-2.95
Ag 0.8419 0.1430 0.6838  6 Se 2.82-3.03
Ag 0.1581 0.8570 0.3162  6 Se 2.82-3.03
Se 0.3318 0.9047 0.6637  3 Ag 2.82-3.03, 2 Dy 2.89, 1 Pu 2.95
Se 0.6687 0.5899 0.3374  3 Dy 2.87-2.88, 3 Ag 2.95-3.02
Se 0.6682 0.0953 0.3363  3 Ag 2.82-3.03, 2 Dy 2.89, 1 Pu 2.95
Se 0.0022 0.2525 0.0045  3 Ag 2.83-2.89, 1 Dy 2.89, 2 Pu 2.91
Se 0.9978 0.7475 0.9955  3 Ag 2.83-2.89, 1 Dy 2.89, 2 Pu 2.91
Se 0.3313 0.4101 0.6626  3 Dy 2.87-2.88, 3 Ag 2.95-3.02